[1]
{
  "formula": "SrMgTc2",
  "functional": "GGA-PBEsol",
  "state": "relaxed",
  "mass_density_g_cm3": 7.0,
  "spacegroup": "No. 216",
  "delta_e_f_mev_per_atom": 766,
  "cell": [[-0.5883, -1.7445, -4.3167], [3.4784, 0.2791, -3.1379], [2.3052, -3.8759, -1.2987]],
  "species": ["Mg", "Sr", "Tc", "Tc"],
  "frac_coords": [[0.5000, 0.5000, 0.5000], [0.2500, 0.2500, 0.2500], [0.0000, 0.0000, 0.0000], [0.7500, 0.7500, 0.7500]]
}

***

[2]
{
  "formula": "Be3Fe5",
  "functional": "GGA-PBEsol",
  "state": "relaxed",
  "mass_density_g_cm3": 6.7,
  "spacegroup": "No. 193",
  "delta_e_f_mev_per_atom": -74,
  "relative_energy_mev_per_atom": 50,
  "cell": [[4.3896, 0.0000, 0.0000], [0.0000, 6.3058, 0.0000], [0.0000, -3.1529, 5.4610]],
  "species": ["Be", "Be", "Be", "Be", "Be", "Be", "Fe", "Fe", "Fe", "Fe", "Fe", "Fe", "Fe", "Fe", "Fe", "Fe"],
  "frac_coords": [[0.7500, 0.4028, 0.4028], [0.2500, 0.5972, 0.5972], [0.7500, 0.0000, 0.5972], [0.7500, 0.5972, 0.0000], [0.2500, 0.4028, 0.0000], [0.2500, 0.0000, 0.4028], [0.0000, 0.6667, 0.3333], [0.5000, 0.3333, 0.6667], [0.0000, 0.3333, 0.6667], [0.5000, 0.6667, 0.3333], [0.7500, 0.7603, 0.7603], [0.2500, 0.2397, 0.2397], [0.7500, 0.0000, 0.2397], [0.7500, 0.2397, 0.0000], [0.2500, 0.7603, 0.0000], [0.2500, 0.0000, 0.7603]]
}

***

[3]
{
  "formula": "LuBi",
  "functional": "GGA-PBEsol",
  "state": "relaxed",
  "mass_density_g_cm3": 11.1,
  "spacegroup": "No. 225",
  "delta_e_f_mev_per_atom": -769,
  "cell": [[4.3335, 0.0000, 0.0000], [2.1667, 3.7529, 0.0000], [2.1667, 1.2510, 3.5383]],
  "species": ["Lu", "Bi"],
  "frac_coords": [[0.5000, 0.5000, 0.5000], [0.0000, 0.0000, 0.0000]]
}

***

| no. | spin magnetization (Bohr magnetons per cell) |
| --- | --- |
| 1 | 0.00 |
| 2 | 17.96 |
| 3 | 0.00 |